# BeZnFe2

BeZnFe2 after structural relaxation (PBE, Alexandria).

raw total energy = -20.207 eV/f.u.
offset from the most stable computed form = 507 meV per atom
spin magnetization = 8.23 μB per cell

Cell: 8.7913 8.7913 8.7913 Å, 157.64 157.64 31.82°
With the nearest neighbours (Å) after each atom.
Fractional positions:
Be (0.0000, 0.0000, 0.0000)  4 Zn 2.41, 4 Fe 2.42
Be (0.7500, 0.2500, 0.5000)  4 Zn 2.41, 4 Fe 2.42
Zn (0.2500, 0.7500, 0.5000)  4 Be 2.41, 4 Fe 2.45
Zn (0.5000, 0.5000, 0.0000)  4 Be 2.41, 4 Fe 2.45
Fe (0.1126, 0.6250, 0.9876)  4 Fe 2.35-2.47, 2 Be 2.42, 2 Zn 2.45
Fe (0.3750, 0.3626, 0.4876)  4 Fe 2.35-2.47, 2 Be 2.42, 2 Zn 2.45
Fe (0.6374, 0.1250, 0.0124)  4 Fe 2.35-2.47, 2 Be 2.42, 2 Zn 2.45
Fe (0.8750, 0.8874, 0.5124)  4 Fe 2.35-2.47, 2 Be 2.42, 2 Zn 2.45